Record 1
The following is a DFT calculation (GGA-PBE) of crystalline Sc2BeP at its relaxed geometry.

Properties
ΔE_f in meV per atom: -457
Excess energy over the best structure of this formula in the dataset in meV per atom: 391

Cell: 5.462 5.462 5.462 Å, 139.83 139.83 58.12°
Sites, in units of the cell vectors:
1 Sc 0.000 0.000 0.000
2 P 0.750 0.250 0.500
3 Be 0.500 0.500 0.000
4 Sc 0.250 0.750 0.500

Record 2
The following is a DFT calculation (GGA-PBE) of crystalline Cs4NpBr7 at its relaxed geometry.

Properties
E_form (uncorrected) in eV per formula unit: -19.61

Cell: 5.904 9.626 11.133 Å, 73.83 74.62 72.14°
Sites, in units of the cell vectors:
1 Br 0.500 0.000 0.000
2 Br 0.360 0.739 0.540
3 Cs 0.271 0.119 0.338
4 Cs 0.729 0.881 0.662
5 Np 0.000 0.000 0.000
6 Cs 0.427 0.389 0.758
7 Br 0.929 0.874 0.267
8 Br 0.071 0.126 0.733
9 Cs 0.573 0.611 0.242
10 Br 0.640 0.261 0.460
11 Br 0.831 0.300 0.037
12 Br 0.169 0.700 0.963

Record 3
The following is a DFT calculation (GGA-PBE) of crystalline Pm4B5C2 at its relaxed geometry.

Properties
ΔE_f in meV per atom: -168

Cell: 3.747 6.737 6.891 Å, 91.65 90.00 90.00°
Sites, in units of the cell vectors:
1 B 0.000 0.662 0.843
2 B 0.000 0.899 0.794
3 C 0.000 0.029 0.609
4 Pm 0.500 0.244 0.420
5 Pm 0.500 0.774 0.112
6 Pm 0.500 0.756 0.580
7 Pm 0.500 0.226 0.888
8 B 0.000 0.101 0.206
9 C 0.000 0.971 0.391
10 B 0.000 0.500 0.000
11 B 0.000 0.338 0.157

Record 4
The following is a DFT calculation (GGA-PBE) of crystalline RbAgCl3 at its relaxed geometry.

Properties
E_form (uncorrected) in eV per formula unit: -4.68

Cell: 9.598 9.598 9.598 Å, 60.00 60.00 60.00°
Sites, in units of the cell vectors:
1 Rb 0.125 0.125 0.625
2 Ag 0.625 0.625 0.125
3 Cl 0.299 0.299 0.701
4 Cl 0.701 0.299 0.299
5 Cl 0.951 0.549 0.951
6 Rb 0.625 0.125 0.125
7 Cl 0.299 0.701 0.299
8 Rb 0.125 0.125 0.125
9 Cl 0.549 0.951 0.951
10 Cl 0.701 0.701 0.299
11 Cl 0.549 0.549 0.951
12 Cl 0.549 0.951 0.549
13 Ag 0.625 0.625 0.625
14 Cl 0.299 0.701 0.701
15 Rb 0.125 0.625 0.125
16 Cl 0.951 0.951 0.549
17 Cl 0.951 0.549 0.549
18 Ag 0.125 0.625 0.625
19 Ag 0.625 0.125 0.625
20 Cl 0.701 0.299 0.701

Record 5
The following is a DFT calculation (GGA-PBE) of crystalline FePdPt at its relaxed geometry.

Properties
ΔE_f in meV per atom: -93
Excess energy over the best structure of this formula in the dataset in meV per atom: 63

Cell: 2.701 4.344 4.344 Å, 120.00 90.00 90.00°
Sites, in units of the cell vectors:
1 Pt 0.333 0.667 0.333
2 Pd 0.835 0.000 0.000
3 Fe 0.832 0.333 0.667

Record 6
The following is a DFT calculation (GGA-PBE) of crystalline NbTl2O2F4 at its relaxed geometry.

Properties
E_form (uncorrected) in eV per formula unit: -18.58

Cell: 4.971 6.062 6.062 Å, 56.88 82.82 82.82°
Sites, in units of the cell vectors:
1 O 0.233 0.149 0.149
2 O 0.767 0.851 0.851
3 Tl 0.147 0.673 0.673
4 F 0.702 0.830 0.326
5 F 0.298 0.170 0.674
6 Tl 0.853 0.327 0.327
7 F 0.702 0.326 0.830
8 Nb 0.500 0.000 0.000
9 F 0.298 0.674 0.170

Record 7
The following is a DFT calculation (GGA-PBE) of crystalline Cs2LiNp2S6 at its relaxed geometry.

Properties
E_form (uncorrected) in eV per formula unit: -14.22

Cell: 6.931 6.931 8.437 Å, 97.09 97.09 120.50°
Sites, in units of the cell vectors:
1 S 0.949 0.594 0.327
2 S 0.594 0.949 0.327
3 S 0.406 0.051 0.673
4 Cs 0.160 0.840 0.000
5 Np 0.666 0.334 0.500
6 Cs 0.840 0.160 0.000
7 S 0.297 0.297 0.328
8 S 0.051 0.406 0.673
9 Np 0.334 0.666 0.500
10 Li 0.000 0.000 0.500
11 S 0.703 0.703 0.672

Record 8
The following is a DFT calculation (GGA-PBE) of crystalline Li2SbPb at its relaxed geometry.

Properties
E_form (uncorrected) in eV per formula unit: -1.33
Excess energy over the best structure of this formula in the dataset in meV per atom: 36

Cell: 5.317 5.317 3.277 Å, 89.99 89.99 104.81°
Sites, in units of the cell vectors:
1 Sb 0.000 0.500 0.500
2 Pb 0.500 0.000 0.500
3 Li 0.000 0.000 0.000
4 Li 0.500 0.500 0.000

Record 9
The following is a DFT calculation (GGA-PBE) of crystalline ScBeAsPd2 at its relaxed geometry.

Properties
ΔE_f in meV per atom: -279
Excess energy over the best structure of this formula in the dataset in meV per atom: 0

Cell: 4.131 4.984 4.131 Å, 90.00 90.00 90.00°
Sites, in units of the cell vectors:
1 As 0.500 0.500 0.500
2 Pd 0.000 0.000 0.500
3 Sc 0.000 0.500 0.000
4 Pd 0.500 0.000 0.000
5 Be 0.000 0.000 0.000

Record 10
The following is a DFT calculation (GGA-PBE) of crystalline CsPbBr3 at its relaxed geometry.

Properties
E_form (uncorrected) in eV per formula unit: -6.52

Cell: 4.657 10.016 17.165 Å, 90.00 90.00 90.00°
Sites, in units of the cell vectors:
1 Pb 0.250 0.665 0.561
2 Br 0.250 0.665 0.999
3 Pb 0.750 0.835 0.061
4 Br 0.250 0.025 0.109
5 Cs 0.250 0.916 0.327
6 Br 0.750 0.702 0.211
7 Br 0.750 0.975 0.891
8 Br 0.750 0.335 0.001
9 Br 0.750 0.202 0.289
10 Pb 0.750 0.335 0.439
11 Br 0.250 0.298 0.789
12 Pb 0.250 0.165 0.939
13 Cs 0.750 0.584 0.827
14 Cs 0.750 0.084 0.673
15 Br 0.250 0.798 0.711
16 Br 0.250 0.525 0.391
17 Br 0.250 0.165 0.501
18 Cs 0.250 0.416 0.173
19 Br 0.750 0.835 0.499
20 Br 0.750 0.475 0.609

Record 11
The following is a DFT calculation (GGA-PBE) of crystalline Re2NiW at its relaxed geometry.

Properties
ΔE_f in meV per atom: 150
Excess energy over the best structure of this formula in the dataset in meV per atom: 138

Cell: 2.649 3.973 5.530 Å, 90.00 90.00 90.00°
Sites, in units of the cell vectors:
1 Re 0.000 0.000 0.979
2 W 0.500 0.500 0.250
3 Ni 0.500 0.500 0.750
4 Re 0.000 0.000 0.521

Record 12
The following is a DFT calculation (GGA-PBE) of crystalline AgSnTe at its relaxed geometry.

Properties
E_form (uncorrected) in eV per formula unit: 0.06

Cell: 4.943 4.943 4.943 Å, 60.00 60.00 60.00°
Sites, in units of the cell vectors:
1 Te 0.000 0.000 0.000
2 Ag 0.250 0.250 0.250
3 Sn 0.500 0.500 0.500

Record 13
The following is a DFT calculation (GGA-PBE) of crystalline Er2ZnGa2Rh5 at its relaxed geometry.

Properties
ΔE_f in meV per atom: -743

Cell: 3.486 9.766 9.766 Å, 90.00 90.00 90.00°
Sites, in units of the cell vectors:
1 Ga 0.000 0.373 0.127
2 Zn 0.000 0.000 0.000
3 Er 0.000 0.673 0.173
4 Rh 0.500 0.933 0.201
5 Rh 0.500 0.000 0.500
6 Rh 0.500 0.500 0.000
7 Zn 0.000 0.500 0.500
8 Er 0.000 0.827 0.673
9 Ga 0.000 0.627 0.873
10 Ga 0.000 0.127 0.627
11 Rh 0.500 0.067 0.799
12 Rh 0.500 0.567 0.701
13 Rh 0.500 0.201 0.067
14 Rh 0.500 0.299 0.567
15 Ga 0.000 0.873 0.373
16 Er 0.000 0.173 0.327
17 Rh 0.500 0.433 0.299
18 Rh 0.500 0.701 0.433
19 Er 0.000 0.327 0.827
20 Rh 0.500 0.799 0.933

Record 14
The following is a DFT calculation (GGA-PBE) of crystalline MnNi2AuN at its relaxed geometry.

Properties
E_form (uncorrected) in eV per formula unit: -0.68

Cell: 3.878 3.878 3.920 Å, 90.00 90.00 90.00°
Sites, in units of the cell vectors:
1 N 0.000 0.000 0.000
2 Au 0.500 0.500 0.500
3 Ni 0.500 0.000 0.000
4 Ni 0.000 0.500 0.000
5 Mn 0.000 0.000 0.500

Record 15
The following is a DFT calculation (GGA-PBE) of crystalline Zr2Sc2Ag at its relaxed geometry.

Properties
ΔE_f in meV per atom: 228
Excess energy over the best structure of this formula in the dataset in meV per atom: 336

Cell: 7.208 7.208 4.593 Å, 90.00 90.00 90.00°
Sites, in units of the cell vectors:
1 Sc 0.658 0.842 0.500
2 Sc 0.342 0.158 0.500
3 Ag 0.500 0.500 0.000
4 Zr 0.862 0.638 0.000
5 Zr 0.638 0.138 0.000
6 Sc 0.158 0.658 0.500
7 Sc 0.842 0.342 0.500
8 Zr 0.362 0.862 0.000
9 Zr 0.138 0.362 0.000
10 Ag 0.000 0.000 0.000

Record 16
The following is a DFT calculation (GGA-PBE) of crystalline ZrAl2In at its relaxed geometry.

Properties
ΔE_f in meV per atom: -72

Cell: 9.756 9.756 9.756 Å, 18.55 18.55 18.55°
Sites, in units of the cell vectors:
1 Zr 0.746 0.746 0.746
2 In 0.503 0.503 0.503
3 Al 0.253 0.253 0.253
4 Al 0.998 0.998 0.998

Record 17
The following is a DFT calculation (GGA-PBE) of crystalline PaGaRe at its relaxed geometry.

Properties
ΔE_f in meV per atom: -270

Cell: 5.299 5.370 5.370 Å, 62.85 60.43 60.43°
Sites, in units of the cell vectors:
1 Re 0.500 0.500 0.000
2 Ga 0.000 0.000 0.000
3 Pa 0.143 0.607 0.607
4 Ga 0.500 0.000 0.000
5 Re 0.500 0.000 0.500
6 Pa 0.857 0.393 0.393

Record 18
The following is a DFT calculation (GGA-PBE) of crystalline Y2Pd2Br at its relaxed geometry.

Properties
E_form (uncorrected) in eV per formula unit: -4.59
Excess energy over the best structure of this formula in the dataset in meV per atom: 0

Cell: 7.985 7.985 3.699 Å, 90.00 90.00 90.00°
Sites, in units of the cell vectors:
1 Y 0.670 0.170 0.000
2 Br 0.500 0.500 0.000
3 Y 0.830 0.670 0.000
4 Y 0.170 0.330 0.000
5 Pd 0.378 0.122 0.500
6 Pd 0.878 0.378 0.500
7 Pd 0.622 0.878 0.500
8 Br 0.000 0.000 0.000
9 Pd 0.122 0.622 0.500
10 Y 0.330 0.830 0.000

Record 19
The following is a DFT calculation (GGA-PBE) of crystalline AcPr6Nd2Mg at its relaxed geometry.

Properties
ΔE_f in meV per atom: 102

Cell: 9.006 9.583 9.583 Å, 119.61 90.07 90.07°
Sites, in units of the cell vectors:
1 Ac 0.750 0.026 0.974
2 Pr 0.042 0.153 0.797
3 Nd 0.553 0.223 0.344
4 Nd 0.053 0.344 0.223
5 Nd 0.947 0.656 0.777
6 Nd 0.447 0.777 0.656
7 Pr 0.409 0.503 0.252
8 Pr 0.591 0.497 0.748
9 Mg 0.250 0.445 0.555
10 Pr 0.211 0.530 0.943
11 Ac 0.250 0.974 0.026
12 Pr 0.958 0.847 0.203
13 Pr 0.289 0.057 0.470
14 Pr 0.711 0.943 0.530
15 Pr 0.909 0.252 0.503
16 Pr 0.458 0.203 0.847
17 Pr 0.542 0.797 0.153
18 Pr 0.091 0.748 0.497
19 Mg 0.750 0.555 0.445
20 Pr 0.789 0.470 0.057

Record 20
The following is a DFT calculation (GGA-PBE) of crystalline CsRb2HgAu2 at its relaxed geometry.

Properties
ΔE_f in meV per atom: -258

Cell: 4.965 9.478 10.307 Å, 90.00 90.00 90.00°
Sites, in units of the cell vectors:
1 Rb 0.500 0.540 0.918
2 Au 0.000 0.247 0.883
3 Au 0.500 0.228 0.396
4 Au 0.000 0.747 0.117
5 Hg 0.500 0.187 0.720
6 Hg 0.500 0.687 0.280
7 Rb 0.500 0.040 0.082
8 Au 0.500 0.728 0.604
9 Rb 0.000 0.888 0.798
10 Cs 0.000 0.455 0.568
11 Cs 0.000 0.955 0.432
12 Rb 0.000 0.388 0.202